No. 1
The following is a DFT calculation (PBE) of a geometry-optimized Hf2NbGe structure.

a b c (Å): 6.1549 6.1549 6.1549
angles (deg): 101.36 101.36 127.30
Closest atoms and distances in Å follow each position.
Element x y z (fractional)
1 Hf 0.0958 0.1250 0.4708  2 Ge 2.69, 2 Hf 2.77, 2 Nb 3.00
2 Hf 0.3750 0.9042 0.0292  2 Ge 2.69, 2 Hf 2.77, 2 Nb 3.00
3 Hf 0.6542 0.6250 0.5292  2 Ge 2.69, 2 Hf 2.77, 2 Nb 3.00
4 Hf 0.8750 0.3458 0.9708  2 Ge 2.69, 2 Hf 2.77, 2 Nb 3.00
5 Nb 0.2500 0.7500 0.5000  2 Ge 2.73, 4 Hf 3.00
6 Nb 0.5000 0.5000 0.0000  2 Ge 2.73, 4 Hf 3.00
7 Ge 0.0000 0.0000 0.0000  4 Hf 2.69, 2 Nb 2.73
8 Ge 0.7500 0.2500 0.5000  4 Hf 2.69, 2 Nb 2.73

* ρ: 10.44 Mg/m³
* space-group type: I-42d
* energy relative to the elements: 0.2602 eV/atom
* total DFT energy (no corrections): -8.388 eV/atom

---

No. 2
The following is a DFT calculation (PBE) of a geometry-optimized TaTc2Ge structure.

a b c (Å): 6.0237 6.0237 6.0237
angles (deg): 152.62 137.62 51.20
Closest atoms and distances in Å follow each position.
Element x y z (fractional)
1 Ta 0.0000 0.0000 0.0000  4 Ge 2.60, 2 Ta 2.85
2 Tc 0.2842 0.2842 0.0000  1 Ge 2.34
3 Tc 0.7158 0.7158 0.0000  1 Ge 2.34
4 Ge 0.5000 0.5000 0.0000  2 Tc 2.34, 4 Ta 2.60

* ρ: 11.07 Mg/m³
* space-group type: Immm
* energy relative to the elements: 0.5065 eV/atom
* total DFT energy (no corrections): -8.794 eV/atom

---

No. 3
The following is a DFT calculation (PBE) of a geometry-optimized KAl2Rh2 structure.

a b c (Å): 6.2674 6.2674 6.2674
angles (deg): 139.28 139.28 58.95
Closest atoms and distances in Å follow each position.
Element x y z (fractional)
1 K 0.0000 0.0000 0.0000  10 Al 3.49-3.83, 8 Rh 3.49
2 Al 0.3508 0.3508 0.0000  4 Rh 2.44
3 Al 0.6492 0.6492 0.0000  4 Rh 2.44
4 Rh 0.2500 0.7500 0.5000  4 Al 2.44
5 Rh 0.7500 0.2500 0.5000  4 Al 2.44

* ρ: 4.78 Mg/m³
* space-group type: I4/mmm
* energy relative to the elements: -0.3450 eV/atom
* total DFT energy (no corrections): -5.002 eV/atom

---

No. 4
The following is a DFT calculation (PBE) of a geometry-optimized DyTmPt2 structure.

a b c (Å): 3.7533 4.4366 5.5838
angles (deg): 90.00 109.72 90.00
Closest atoms and distances in Å follow each position.
Element x y z (fractional)
1 Dy 0.0000 0.0000 0.0000  7 Pt 2.87-3.04
2 Tm 0.2770 0.5000 0.5536  7 Pt 2.88-3.03
3 Pt 0.5511 0.5000 0.1019  3 Tm 2.88-3.03, 2 Pt 2.89, 4 Dy 2.95
4 Pt 0.7275 0.0000 0.4546  3 Dy 2.87-3.04, 2 Pt 2.89, 4 Tm 2.95

* ρ: 13.69 Mg/m³
* space-group type: Pm
* energy relative to the elements: -1.3026 eV/atom
* total DFT energy (no corrections): -6.591 eV/atom

---

No. 5
The following is a DFT calculation (PBE) of a geometry-optimized MnNi3Ir structure.

a b c (Å): 4.6789 4.6789 5.1299
angles (deg): 121.36 121.36 72.16
Closest atoms and distances in Å follow each position.
Element x y z (fractional)
1 Mn 0.0000 0.0000 0.0000  4 Ni 2.41
2 Ni 0.0000 0.5000 0.5000  2 Ir 2.34, 2 Mn 2.41, 2 Ni 2.41
3 Ni 0.5000 0.0000 0.5000  2 Ir 2.34, 2 Mn 2.41, 2 Ni 2.41
4 Ni 0.5000 0.5000 0.0000  4 Ni 2.41, 2 Ir 2.56
5 Ir 0.5000 0.5000 0.5000  6 Ni 2.34-2.56

* ρ: 8.59 Mg/m³
* space-group type: C2/m
* energy relative to the elements: 0.7270 eV/atom
* total DFT energy (no corrections): -6.348 eV/atom

---

No. 6
The following is a DFT calculation (PBE) of a geometry-optimized Al6Ni12Pt structure.

a b c (Å): 6.6526 6.6526 6.6526
angles (deg): 106.35 106.35 106.35
Closest atoms and distances in Å follow each position.
Element x y z (fractional)
1 Al 0.2918 0.2918 0.7062  8 Ni 2.33-2.55
2 Al 0.2918 0.7062 0.2918  8 Ni 2.33-2.55
3 Al 0.2938 0.7082 0.7082  8 Ni 2.33-2.55
4 Al 0.7062 0.2918 0.2918  8 Ni 2.33-2.55
5 Al 0.7082 0.2938 0.7082  8 Ni 2.33-2.55
6 Al 0.7082 0.7082 0.2938  8 Ni 2.33-2.55
7 Ni 0.1161 0.5000 0.8839  4 Al 2.33-2.41, 3 Ni 2.47-2.50
8 Ni 0.1161 0.8839 0.5000  4 Al 2.33-2.41, 3 Ni 2.47-2.50
9 Ni 0.1205 0.3583 0.3583  4 Al 2.47-2.55, 4 Ni 2.50-2.53, 1 Pt 2.58
10 Ni 0.3583 0.1205 0.3583  4 Al 2.47-2.55, 4 Ni 2.50-2.53, 1 Pt 2.58
11 Ni 0.3583 0.3583 0.1205  4 Al 2.47-2.55, 4 Ni 2.50-2.53, 1 Pt 2.58
12 Ni 0.5000 0.1161 0.8839  4 Al 2.33-2.41, 3 Ni 2.47-2.50
13 Ni 0.5000 0.8839 0.1161  4 Al 2.33-2.41, 3 Ni 2.47-2.50
14 Ni 0.6417 0.6417 0.8795  4 Al 2.47-2.55, 4 Ni 2.50-2.53, 1 Pt 2.58
15 Ni 0.6417 0.8795 0.6417  4 Al 2.47-2.55, 4 Ni 2.50-2.53, 1 Pt 2.58
16 Ni 0.8795 0.6417 0.6417  4 Al 2.47-2.55, 4 Ni 2.50-2.53, 1 Pt 2.58
17 Ni 0.8839 0.1161 0.5000  4 Al 2.33-2.41, 3 Ni 2.47-2.50
18 Ni 0.8839 0.5000 0.1161  4 Al 2.33-2.41, 3 Ni 2.47-2.50
19 Pt 0.0000 0.0000 0.0000  6 Ni 2.58

* ρ: 7.07 Mg/m³
* space-group type: R-3m
* energy relative to the elements: -0.1417 eV/atom
* total DFT energy (no corrections): -5.293 eV/atom

---

No. 7
The following is a DFT calculation (PBE) of a geometry-optimized BeTlSe structure.

a b c (Å): 3.6183 3.6186 6.8114
angles (deg): 89.14 89.82 60.00
Closest atoms and distances in Å follow each position.
Element x y z (fractional)
1 Be 0.0000 0.0000 0.0000  3 Se 2.16
2 Tl 0.3342 0.3409 0.6076  1 Se 3.20, 3 Be 3.38-3.40
3 Se 0.3342 0.3307 0.0780  3 Be 2.16

* ρ: 6.29 Mg/m³
* space-group type: P1
* total DFT energy (no corrections): -3.527 eV/atom

---

No. 8
The following is a DFT calculation (PBE) of a geometry-optimized AlVN structure.

a b c (Å): 5.6105 5.6105 5.6105
angles (deg): 149.25 149.25 44.04
Closest atoms and distances in Å follow each position.
Element x y z (fractional)
1 Al 0.0000 0.0000 0.0000  1 N 1.84
2 V 0.6644 0.6644 0.0000  1 N 1.65
3 N 0.8232 0.8232 0.0000  1 V 1.65, 1 Al 1.84

* ρ: 3.32 Mg/m³
* space-group type: I4mm
* total DFT energy (no corrections): -6.978 eV/atom